First-principles (PBE) data for crystalline GaI2Br2 at its relaxed geometry, as listed in Alexandria via LeMat-Bulk.

The space group is I4/mmm (No. 139) and the conventional cell measures 4.166, 4.166 and 22.023 Å, with angles of 90.00, 90.00 and 90.00 degrees. The asymmetric unit holds Ga at (0.000, 0.000, 0.000), I at (0.000, 0.000, 0.426) and Br at (0.000, 0.500, 0.250).

Its uncorrected formation energy is 0.10 eV per atom.

=====

First-principles (PBE) data for crystalline FeHg2Sb at its relaxed geometry, as listed in Alexandria via LeMat-Bulk.

The space group is I-4m2 (No. 119) and the conventional cell measures 4.368, 4.368 and 8.969 Å, with angles of 90.00, 90.00 and 90.00 degrees. The asymmetric unit holds Fe at (0.000, 0.000, 0.000), Hg at (0.000, 0.000, 0.500), Hg at (0.000, 0.500, 0.750) and Sb at (0.000, 0.500, 0.250).

Its uncorrected formation energy is 0.47 eV per atom.

=====

First-principles (PBE) data for crystalline CaErTmMg at its relaxed geometry, as listed in Alexandria via LeMat-Bulk.

The space group is F-43m (No. 216) and the conventional cell measures 7.860, 7.860 and 7.860 Å, with angles of 90.00, 90.00 and 90.00 degrees. The asymmetric unit holds Ca at (0.000, 0.000, 0.000), Er at (0.000, 0.000, 0.500), Tm at (0.250, 0.250, 0.750) and Mg at (0.250, 0.250, 0.250).

As for the energy of formation from the pure elements: 0.39 eV/f.u.

=====

First-principles (PBE) data for crystalline Cu2BiI at its relaxed geometry, as listed in Alexandria via LeMat-Bulk.

The space group is I-42d (No. 122) and the conventional cell measures 6.391, 6.391 and 10.968 Å, with angles of 90.00, 90.00 and 90.00 degrees. The asymmetric unit holds Cu at (0.249, 0.250, 0.125), Bi at (0.000, 0.000, 0.000) and I at (0.000, 0.000, 0.500).

Its uncorrected formation energy is 0.24 eV per atom. The energy above the most stable polymorph in this dataset is 0 meV/atom.

=====

First-principles (PBE) data for crystalline B2C at its relaxed geometry, as listed in Alexandria via LeMat-Bulk.

The space group is P-3m1 (No. 164) and the conventional cell measures 2.6481, 2.6481 and 15.8546 Å, with angles of 90.00, 90.00 and 120.00 degrees. The asymmetric unit holds B at (0.0000, 0.0000, 0.0534), B at (0.0000, 0.0000, 0.3757), B at (0.3333, 0.6667, 0.1205), B at (0.3333, 0.6667, 0.7394), C at (0.3333, 0.6667, 0.2175) and C at (0.3333, 0.6667, 0.6347).

The energy above the most stable polymorph in this dataset is 199 meV/atom. As for the energy of formation from the pure elements: 1.15 eV/f.u.

=====

First-principles (PBE) data for crystalline YLuCdRu at its relaxed geometry, as listed in Alexandria via LeMat-Bulk.

The space group is F-43m (No. 216) and the conventional cell measures 7.055, 7.055 and 7.055 Å, with angles of 90.00, 90.00 and 90.00 degrees. The asymmetric unit holds Y at (0.000, 0.000, 0.000), Lu at (0.000, 0.000, 0.500), Cd at (0.250, 0.250, 0.750) and Ru at (0.250, 0.250, 0.250).

As for the energy of formation from the pure elements: -1.27 eV/f.u.

=====

Number 1: DOS(E_F) 6.63 states/eV per cell, calculated total energy -1.79 eV/atom. Number 2: DOS(E_F) 3.34 states/eV per cell, calculated total energy -2.82 eV/atom. Number 3: DOS(E_F) 10.18 states/eV per cell, calculated total energy -3.06 eV/atom. Number 4: DOS(E_F) 2.99 states/eV per cell, calculated total energy -3.17 eV/atom. Number 5: DOS(E_F) 3.09 states/eV per cell, calculated total energy -7.14 eV/atom. Number 6: DOS(E_F) 16.17 states/eV per cell, calculated total energy -5.61 eV/atom.